Compound: KBiF5
Source: the Alexandria database
Functional: PBE
Structure: optimized geometry

Geometry as POSCAR:
```
KBiF5
1.0
6.204 0.186 -1.765
-2.401 5.965 -0.550
-0.983 -0.717 8.931
F K Bi
10 2 2
Cartesian
1.740 3.699 7.264
1.559 4.465 1.959
-1.101 5.823 1.244
3.678 1.473 2.924
-2.038 4.008 7.309
-0.858 3.960 3.691
3.921 -0.390 5.371
1.261 0.968 4.656
1.081 1.735 -0.649
4.859 1.426 -0.694
3.210 2.947 0.632
-0.390 2.486 5.983
0.000 0.000 0.000
2.611 -0.266 3.583
```

Output
Crystal system: monoclinic
Total DFT energy (no corrections): -4.386 eV/atom
Fermi-level density of states: 2.090 states/eV/f.u.
Total magnetic moment: 0.0 μB/f.u.
ΔE_f (raw): -2.339 eV/atom